# VIn2Si2 (PBE-GGA, relaxed)
data_VIn2Si2
_chemical_formula_sum 'V1 In2 Si2'
_space_group_name_H-M_alt 'P 1'
_space_group_IT_number 1
_cell_length_a 4.0222
_cell_length_b 4.0222
_cell_length_c 7.2105
_cell_angle_alpha 73.80
_cell_angle_beta 73.80
_cell_angle_gamma 90.00
loop_
_space_group_symop_operation_xyz
'x,y,z'
loop_
_atom_site_label
_atom_site_type_symbol
_atom_site_fract_x
_atom_site_fract_y
_atom_site_fract_z
_atom_site_occupancy
Si1 Si 0.4140 0.4140 0.1721 1
Si2 Si 0.5860 0.5860 0.8279 1
In1 In 0.7500 0.2500 0.5000 1
In2 In 0.2500 0.7500 0.5000 1
V1 V 0.0000 0.0000 0.0000 1
# E above lowest polymorph, kJ per mole of atoms: 40.7
# Magnetization, μB per atom: 0.585